(1)
The following is a DFT calculation (PBE) of a geometry-optimized Si2HBr8 structure.

Summary:
Its space group is C2/m (12).

Unit cell a=8.5865 b=8.5865 c=7.4480 alpha=110.02 beta=110.02 gamma=80.51
Last column: nearest neighbours and their distance in Å.
Sites, in units of the cell vectors:
Si: 0.2342 0.2342 0.1074  4 Br 2.22-2.35
Si: 0.7658 0.7658 0.8926  4 Br 2.22-2.35
H: 0.0000 0.0000 0.5000  2 Br 1.85
Br: 0.0331 0.3600 0.2387  1 Si 2.22
Br: 0.1175 0.1175 0.7590  1 H 1.85
Br: 0.3600 0.0331 0.2387  1 Si 2.22
Br: 0.4165 0.4165 0.1686  1 Si 2.22
Br: 0.5835 0.5835 0.8314  1 Si 2.22
Br: 0.6400 0.9669 0.7613  1 Si 2.22
Br: 0.8825 0.8825 0.2410  1 H 1.85
Br: 0.9669 0.6400 0.7613  1 Si 2.22


(2)
The following is a DFT calculation (PBE) of a geometry-optimized SiH6Br3 structure.

Summary:
Its space group is P2_1/c (14).

Unit cell a=3.7595 b=9.7407 c=9.0353 alpha=90.00 beta=100.40 gamma=90.00
Last column: nearest neighbours and their distance in Å.
Sites, in units of the cell vectors:
Si: 0.0000 0.0000 0.0000  4 H 1.58
Si: 0.0000 0.5000 0.5000  4 H 1.58
H: 0.2424 0.0944 0.3391  1 Br 1.59
H: 0.2424 0.4056 0.8391  1 Br 1.59
H: 0.2830 0.0812 0.9231  1 H 1.39
H: 0.2830 0.4188 0.4231  1 H 1.39
H: 0.3528 0.5743 0.5857  1 H 1.39
H: 0.3528 0.9257 0.0857  1 H 1.39
H: 0.6472 0.0743 0.9143  1 H 1.39
H: 0.6472 0.4257 0.4143  1 H 1.39
H: 0.7170 0.5812 0.5769  1 H 1.39
H: 0.7170 0.9188 0.0769  1 H 1.39
H: 0.7576 0.5944 0.1609  1 Br 1.59
H: 0.7576 0.9056 0.6609  1 Br 1.59
Br: 0.0278 0.1832 0.2035  1 H 1.59
Br: 0.0278 0.3168 0.7035  1 H 1.59
Br: 0.5000 0.0000 0.5000  2 H 1.84
Br: 0.5000 0.5000 0.0000  2 H 1.84
Br: 0.9722 0.6832 0.2965  1 H 1.59
Br: 0.9722 0.8168 0.7965  1 H 1.59


(3)
The following is a DFT calculation (PBE) of a geometry-optimized SiHBr2 structure.

Summary:
Its space group is I-42d (122).

Unit cell a=8.4884 b=8.4884 c=11.3032 alpha=90.00 beta=90.00 gamma=90.00
Last column: nearest neighbours and their distance in Å.
Sites, in units of the cell vectors:
Si: 0.0000 0.0000 0.0000  4 Br 2.55
Si: 0.0000 0.5000 0.2500  4 Br 2.55
Si: 0.5000 0.0000 0.7500  4 Br 2.55
Si: 0.5000 0.5000 0.5000  4 Br 2.55
H: 0.0000 0.0000 0.5000  12 Br 4.74-4.96, 4 H 5.10, 4 Si 5.10
H: 0.0000 0.5000 0.7500  12 Br 4.74-4.96, 4 H 5.10, 4 Si 5.10
H: 0.5000 0.0000 0.2500  12 Br 4.74-4.96, 4 H 5.10, 4 Si 5.10
H: 0.5000 0.5000 0.0000  12 Br 4.74-4.96, 4 H 5.10, 4 Si 5.10
Br: 0.0014 0.7500 0.1250  2 Si 2.55
Br: 0.2500 0.0014 0.8750  2 Si 2.55
Br: 0.2500 0.4986 0.3750  2 Si 2.55
Br: 0.4986 0.7500 0.6250  2 Si 2.55
Br: 0.5014 0.2500 0.6250  2 Si 2.55
Br: 0.7500 0.5014 0.3750  2 Si 2.55
Br: 0.7500 0.9986 0.8750  2 Si 2.55
Br: 0.9986 0.2500 0.1250  2 Si 2.55


Number 1: total DFT energy (no corrections) -3.02 eV/atom. Number 2: total DFT energy (no corrections) -3.02 eV/atom. Number 3: total DFT energy (no corrections) -2.62 eV/atom.